{
  "formula": "K2TlAgN",
  "functional": "GGA-PBE",
  "state": "optimized geometry",
  "lattice": [[6.073, 0.000, 0.000], [0.000, 5.308, 0.000], [0.000, 0.000, 6.073]],
  "species": ["Tl", "K", "K", "Ag", "N"],
  "fractional_positions": [[0.000, 0.500, 0.000], [0.000, 0.000, 0.500], [0.500, 0.000, 0.000], [0.000, 0.000, 0.000], [0.500, 0.500, 0.500]],
  "total_magnetization_mub_per_fu": 0.00,
  "rho_g_cm3": 3.4,
  "vol_a3_per_atom": 39.2,
  "space_group": "No. 123",
  "dft_energy_ev_per_cell": -10.24,
  "raw_formation_energy_mev_per_atom": 1100.3
}